First-principles (PBE-GGA) data for crystalline La2Pu2Ag15 at its relaxed geometry, as listed in Alexandria.

Cell: 7.4678 7.4678 7.4678 Å, 82.57 82.57 82.57°
Last column: nearest neighbours and their distance in Å.
Fractional coordinates of all 19 atoms:
La 0.3435 0.3435 0.3435  15 Ag 3.42-3.76, 1 Pu 3.58
La 0.6565 0.6565 0.6565  15 Ag 3.42-3.76, 1 Pu 3.58
Pu 0.0971 0.0971 0.0971  1 Pu 2.82, 3 Ag 3.02
Pu 0.9029 0.9029 0.9029  1 Pu 2.82, 3 Ag 3.02
Ag 0.5000 0.0000 0.0000  8 Ag 2.86-2.90, 2 Pu 3.02
Ag 0.0000 0.0000 0.5000  8 Ag 2.86-2.90, 2 Pu 3.02
Ag 0.0000 0.5000 0.0000  8 Ag 2.86-2.90, 2 Pu 3.02
Ag 0.0000 0.6921 0.3079  8 Ag 2.86-3.05
Ag 0.6921 0.3079 0.0000  8 Ag 2.86-3.05
Ag 0.3079 0.0000 0.6921  8 Ag 2.86-3.05
Ag 0.3079 0.6921 0.0000  8 Ag 2.86-3.05
Ag 0.6921 0.0000 0.3079  8 Ag 2.86-3.05
Ag 0.0000 0.3079 0.6921  8 Ag 2.86-3.05
Ag 0.1619 0.6472 0.6472  8 Ag 2.79-3.05
Ag 0.6472 0.6472 0.1619  8 Ag 2.79-3.05
Ag 0.6472 0.1619 0.6472  8 Ag 2.79-3.05
Ag 0.8381 0.3528 0.3528  8 Ag 2.79-3.05
Ag 0.3528 0.3528 0.8381  8 Ag 2.79-3.05
Ag 0.3528 0.8381 0.3528  8 Ag 2.79-3.05

## Properties
N(E_F) ... 31.9 states/eV/f.u.
Raw total energy ... -4.3275 eV/atom
SG ... R-3m (166)

First-principles (PBE-GGA) data for crystalline CrRuPt2 at its relaxed geometry, as listed in Alexandria.

Cell: 4.3530 2.7399 4.7774 Å, 90.01 90.00 90.00°
Last column: nearest neighbours and their distance in Å.
Fractional coordinates of all 4 atoms:
Cr 0.5000 0.6250 0.7782  2 Ru 2.62, 8 Pt 2.69-2.82, 2 Cr 2.74
Pt 0.0000 0.1251 0.9571  4 Ru 2.70-2.81, 4 Pt 2.71-2.74, 4 Cr 2.71
Pt 0.5000 0.1250 0.2936  4 Cr 2.69-2.82, 4 Pt 2.71-2.74, 4 Ru 2.71
Ru 0.0000 0.6250 0.4711  2 Cr 2.62, 8 Pt 2.70-2.81, 2 Ru 2.74

## Properties
N(E_F) ... 5.2 states/eV/f.u.
Raw total energy ... -7.8188 eV/atom
SG ... Pmm2 (25)

First-principles (PBE-GGA) data for crystalline K2InP2S7 at its relaxed geometry, as listed in Alexandria.

Cell: 9.1253 9.1253 8.8206 Å, 74.96 74.96 72.05°
Last column: nearest neighbours and their distance in Å.
Fractional coordinates of all 24 atoms:
K 0.6099 0.0546 0.1616  7 S 3.31-3.56
K 0.9454 0.3901 0.8384  7 S 3.31-3.56
K 0.3901 0.9454 0.8384  7 S 3.31-3.56
K 0.0546 0.6099 0.1616  7 S 3.31-3.56
In 0.6881 0.3119 0.5000  6 S 2.60-2.77
In 0.3119 0.6881 0.5000  6 S 2.60-2.77
P 0.9403 0.9403 0.4408  3 S 1.99-2.06
P 0.0597 0.0597 0.5592  3 S 1.99-2.06
P 0.3896 0.3896 0.8105  4 S 2.01-2.12
P 0.6104 0.6104 0.1895  4 S 2.01-2.12
S 0.6944 0.3714 0.1942  1 P 2.07
S 0.6286 0.3056 0.8058  1 P 2.07
S 0.3056 0.6286 0.8058  1 P 2.07
S 0.3714 0.6944 0.1942  1 P 2.07
S 0.9932 0.9932 0.2033  1 P 1.99
S 0.0068 0.0068 0.7967  1 P 1.99
S 0.7039 0.0155 0.5336  1 P 2.06
S 0.9845 0.2961 0.4664  1 P 2.06
S 0.2961 0.9845 0.4664  1 P 2.06
S 0.0155 0.7039 0.5336  1 P 2.06
S 0.2692 0.2692 0.9988  1 P 2.01
S 0.7308 0.7308 0.0012  1 P 2.01
S 0.3645 0.3645 0.5874  1 P 2.12
S 0.6355 0.6355 0.4126  1 P 2.12

## Properties
N(E_F) ... 0.0 states/eV/f.u.
E_form (uncorrected) ... -687 meV per atom
SG ... C2/m (12)